(1)
The following is a PBE-GGA calculation of a relaxed Th2Pt9Au crystal, from the Alexandria database.

abc: 5.4599 5.4599 9.4157
angles: 73.15 73.15 60.00
Fractional coordinates of all 12 atoms:
Pt: 0.4122 0.9207 0.2550
Au: 0.0000 0.0000 0.0000
Pt: 0.5000 0.5000 0.5000
Pt: 0.5878 0.5878 0.7450
Pt: 0.6674 0.6674 0.9977
Pt: 0.5878 0.0793 0.7450
Pt: 0.4122 0.4122 0.2550
Th: 0.8682 0.8682 0.3955
Pt: 0.0793 0.5878 0.7450
Pt: 0.3326 0.3326 0.0023
Th: 0.1318 0.1318 0.6045
Pt: 0.9207 0.4122 0.2550

- Space group: R-3m
- Crystal system: trigonal

***

(2)
The following is a PBE-GGA calculation of a relaxed ThPtAu crystal, from the Alexandria database.

abc: 3.5677 4.6876 4.6876
angles: 120.00 90.00 90.00
Fractional coordinates of all 3 atoms:
Au: 0.1668 0.6667 0.3333
Th: 0.6669 0.3333 0.6667
Pt: 0.1663 0.0000 0.0000

- Space group: P-6m2
- Crystal system: hexagonal

***

(3)
The following is a PBE-GGA calculation of a relaxed Th3PtAu crystal, from the Alexandria database.

abc: 4.9667 8.2809 8.3378
angles: 119.77 90.00 90.00
Fractional coordinates of all 10 atoms:
Pt: 0.5000 0.9065 0.8129
Th: 0.0000 0.8165 0.6330
Th: 0.5000 0.6853 0.0000
Th: 0.5000 0.3147 0.0000
Th: 0.5000 0.0000 0.5000
Au: 0.0000 0.3932 0.7865
Pt: 0.5000 0.0935 0.1871
Th: 0.5000 0.5000 0.5000
Th: 0.0000 0.1835 0.3670
Au: 0.0000 0.6068 0.2135

- Space group: Cmmm
- Crystal system: orthorhombic

***

(4)
The following is a PBE-GGA calculation of a relaxed Th2Pt9Au crystal, from the Alexandria database.

abc: 4.1982 4.1982 12.3241
angles: 90.00 90.00 90.00
Fractional coordinates of all 12 atoms:
Pt: 0.5000 0.0000 0.5000
Pt: 0.5000 0.5000 0.3294
Th: 0.0000 0.0000 0.3244
Pt: 0.5000 0.5000 0.0000
Pt: 0.5000 0.0000 0.8415
Pt: 0.0000 0.5000 0.5000
Pt: 0.5000 0.0000 0.1585
Au: 0.0000 0.0000 0.0000
Th: 0.0000 0.0000 0.6756
Pt: 0.5000 0.5000 0.6706
Pt: 0.0000 0.5000 0.8415
Pt: 0.0000 0.5000 0.1585

- Space group: P4/mmm
- Crystal system: tetragonal

***

(5)
The following is a PBE-GGA calculation of a relaxed Th2Pt3Au crystal, from the Alexandria database.

abc: 3.9081 7.5104 17.8348
angles: 90.00 90.00 90.00
Fractional coordinates of all 24 atoms:
Pt: 0.7500 0.9209 0.8420
Th: 0.2500 0.6637 0.5701
Au: 0.2500 0.9866 0.4364
Th: 0.7500 0.8363 0.0701
Th: 0.7500 0.3905 0.2061
Pt: 0.7500 0.7171 0.4495
Pt: 0.2500 0.7029 0.1923
Pt: 0.7500 0.4209 0.6580
Th: 0.2500 0.1095 0.7061
Pt: 0.2500 0.2029 0.3077
Th: 0.2500 0.1637 0.9299
Th: 0.7500 0.8905 0.2939
Pt: 0.7500 0.2971 0.8077
Au: 0.7500 0.0134 0.5636
Au: 0.2500 0.4866 0.0636
Pt: 0.7500 0.7971 0.6923
Pt: 0.7500 0.2171 0.0505
Th: 0.7500 0.3363 0.4299
Pt: 0.2500 0.7829 0.9495
Pt: 0.2500 0.2829 0.5505
Pt: 0.2500 0.0791 0.1580
Au: 0.7500 0.5134 0.9364
Th: 0.2500 0.6095 0.7939
Pt: 0.2500 0.5791 0.3420

- Space group: Pnma
- Crystal system: orthorhombic

***

(6)
The following is a PBE-GGA calculation of a relaxed ThPtAu2 crystal, from the Alexandria database.

abc: 4.9400 4.9400 4.9400
angles: 60.00 60.00 60.00
Fractional coordinates of all 4 atoms:
Au: 0.7500 0.7500 0.7500
Pt: 0.5000 0.5000 0.5000
Au: 0.2500 0.2500 0.2500
Th: 0.0000 0.0000 0.0000

- Space group: Fm-3m
- Crystal system: cubic

***

(7)
The following is a PBE-GGA calculation of a relaxed Th6PtAu3 crystal, from the Alexandria database.

abc: 6.6598 8.2421 10.5778
angles: 90.00 88.94 90.00
Fractional coordinates of all 20 atoms:
Th: 0.3222 0.5494 0.7458
Th: 0.3656 0.8394 0.0720
Th: 0.6344 0.1606 0.9280
Pt: 0.5000 0.5000 0.5000
Th: 0.6778 0.4506 0.2542
Th: 0.8780 0.6742 0.9259
Th: 0.1778 0.0494 0.7542
Au: 0.4173 0.1367 0.2504
Pt: 0.0000 0.0000 0.0000
Th: 0.8222 0.9506 0.2458
Au: 0.9173 0.3633 0.7504
Th: 0.1220 0.3258 0.0741
Th: 0.8656 0.6606 0.5720
Au: 0.0000 0.0000 0.5000
Au: 0.5827 0.8633 0.7496
Th: 0.1344 0.3394 0.4280
Au: 0.0827 0.6367 0.2496
Th: 0.3780 0.8258 0.4259
Au: 0.5000 0.5000 0.0000
Th: 0.6220 0.1742 0.5741

- Space group: P2_1/c
- Crystal system: monoclinic

***

(8)
The following is a PBE-GGA calculation of a relaxed Th2PtAu crystal, from the Alexandria database.

abc: 4.1328 4.1328 7.8760
angles: 74.79 74.79 60.00
Fractional coordinates of all 4 atoms:
Au: 0.4994 0.4994 0.5017
Th: 0.0761 0.0761 0.7717
Pt: 0.6669 0.6669 0.9994
Th: 0.2576 0.2576 0.2272

- Space group: R3m
- Crystal system: trigonal

***

(9)
The following is a PBE-GGA calculation of a relaxed ThPtAu crystal, from the Alexandria database.

abc: 3.8145 3.8145 5.3757
angles: 110.78 110.78 90.00
Fractional coordinates of all 3 atoms:
Th: 0.6086 0.6086 0.2172
Pt: 0.9579 0.9579 0.9157
Au: 0.2835 0.2835 0.5671

- Space group: I4mm
- Crystal system: tetragonal

***

(10)
The following is a PBE-GGA calculation of a relaxed ThTlPtAu crystal, from the Alexandria database.

abc: 5.0555 5.0555 5.0555
angles: 60.00 60.00 60.00
Fractional coordinates of all 4 atoms:
Au: 0.5000 0.5000 0.5000
Tl: 0.2500 0.2500 0.2500
Th: 0.7500 0.7500 0.7500
Pt: 0.0000 0.0000 0.0000

- Space group: F-43m
- Crystal system: cubic

***

(11)
The following is a PBE-GGA calculation of a relaxed TmThPtAu crystal, from the Alexandria database.

abc: 3.8529 4.4241 5.9688
angles: 90.00 108.83 90.00
Fractional coordinates of all 4 atoms:
Au: 0.5902 0.5000 0.1804
Pt: 0.4013 0.0000 0.8026
Th: 0.8661 0.5000 0.7322
Tm: 0.1424 0.0000 0.2848

- Space group: Amm2
- Crystal system: orthorhombic

***

(12)
The following is a PBE-GGA calculation of a relaxed TmThPtAu crystal, from the Alexandria database.

abc: 5.0932 5.0932 5.0932
angles: 60.00 60.00 60.00
Fractional coordinates of all 4 atoms:
Th: 0.0000 0.0000 0.0000
Au: 0.2500 0.2500 0.2500
Tm: 0.5000 0.5000 0.5000
Pt: 0.7500 0.7500 0.7500

- Space group: F-43m
- Crystal system: cubic

***

(13)
The following is a PBE-GGA calculation of a relaxed YThPtAu crystal, from the Alexandria database.

abc: 5.1241 5.1241 5.1241
angles: 60.00 60.00 60.00
Fractional coordinates of all 4 atoms:
Y: 0.5000 0.5000 0.5000
Pt: 0.7500 0.7500 0.7500
Au: 0.2500 0.2500 0.2500
Th: 0.0000 0.0000 0.0000

- Space group: F-43m
- Crystal system: cubic

***

(14)
The following is a PBE-GGA calculation of a relaxed YThPtAu crystal, from the Alexandria database.

abc: 3.8728 4.4457 6.0201
angles: 90.00 108.76 90.00
Fractional coordinates of all 4 atoms:
Au: 0.5885 0.5000 0.1771
Y: 0.1424 0.0000 0.2848
Th: 0.8670 0.5000 0.7341
Pt: 0.4020 0.0000 0.8041

- Space group: Amm2
- Crystal system: orthorhombic

***

(15)
The following is a PBE-GGA calculation of a relaxed ThZnPtAu crystal, from the Alexandria database.

abc: 4.5316 4.5256 5.4137
angles: 114.61 90.00 120.04
Fractional coordinates of all 4 atoms:
Pt: 0.3999 0.7997 0.8411
Th: 0.6216 0.2431 0.5072
Au: 0.8405 0.6809 0.1639
Zn: 0.1044 0.2088 0.9552

- Space group: Cm
- Crystal system: monoclinic

***

(16)
The following is a PBE-GGA calculation of a relaxed Th2ZnPtAu crystal, from the Alexandria database.

abc: 4.4226 7.9859 7.2022
angles: 111.44 90.00 90.00
Fractional coordinates of all 10 atoms:
Pt: 0.2500 0.8887 0.8983
Th: 0.7500 0.7099 0.0352
Th: 0.7500 0.8767 0.6227
Th: 0.2500 0.2901 0.9648
Zn: 0.7500 0.4503 0.3499
Au: 0.2500 0.6608 0.3195
Zn: 0.2500 0.5497 0.6501
Au: 0.7500 0.3392 0.6805
Pt: 0.7500 0.1113 0.1017
Th: 0.2500 0.1233 0.3773

- Space group: P2_1/m
- Crystal system: monoclinic

***

(17)
The following is a PBE-GGA calculation of a relaxed ThZn2Pt2Au crystal, from the Alexandria database.

abc: 4.6889 4.6889 5.6868
angles: 90.00 90.00 90.00
Fractional coordinates of all 6 atoms:
Au: 0.0000 0.0000 0.0000
Zn: 0.0000 0.5000 0.0000
Pt: 0.5000 0.5000 0.2648
Th: 0.0000 0.0000 0.5000
Pt: 0.5000 0.5000 0.7352
Zn: 0.5000 0.0000 0.0000

- Space group: P4/mmm
- Crystal system: tetragonal

***

(18)
The following is a PBE-GGA calculation of a relaxed ThZnPtAu crystal, from the Alexandria database.

abc: 4.9151 4.9151 4.9151
angles: 60.00 60.00 60.00
Fractional coordinates of all 4 atoms:
Pt: 0.7500 0.7500 0.7500
Zn: 0.5000 0.5000 0.5000
Au: 0.2500 0.2500 0.2500
Th: 0.0000 0.0000 0.0000

- Space group: F-43m
- Crystal system: cubic

***

(19)
The following is a PBE-GGA calculation of a relaxed ThZn5PtAu4 crystal, from the Alexandria database.

abc: 4.9759 4.9759 8.6111
angles: 90.00 90.00 90.00
Fractional coordinates of all 11 atoms:
Zn: 0.0000 0.5000 0.6948
Pt: 0.5000 0.5000 0.5000
Au: 0.5000 0.5000 0.8258
Zn: 0.0000 0.0000 0.0000
Th: 0.0000 0.0000 0.5000
Au: 0.5000 0.5000 0.1742
Zn: 0.0000 0.5000 0.3052
Au: 0.0000 0.5000 0.0000
Zn: 0.5000 0.0000 0.3052
Au: 0.5000 0.0000 0.0000
Zn: 0.5000 0.0000 0.6948

- Space group: P4/mmm
- Crystal system: tetragonal

***

(20)
The following is a PBE-GGA calculation of a relaxed Ti2Pt2Au crystal, from the Alexandria database.

abc: 4.2482 4.2482 5.6263
angles: 97.52 97.52 106.00
Fractional coordinates of all 5 atoms:
Pt: 0.1993 0.8007 0.5000
Au: 0.0000 0.0000 0.0000
Pt: 0.8007 0.1993 0.5000
Ti: 0.4233 0.4233 0.7396
Ti: 0.5767 0.5767 0.2604

- Space group: C2/m
- Crystal system: monoclinic

***

(21)
The following is a PBE-GGA calculation of a relaxed Ti2Pt2Au crystal, from the Alexandria database.

abc: 7.4252 7.4252 3.0306
angles: 90.00 90.00 90.00
Fractional coordinates of all 10 atoms:
Pt: 0.6323 0.1323 0.0000
Ti: 0.8336 0.3336 0.5000
Pt: 0.8677 0.6323 0.0000
Ti: 0.1664 0.6664 0.5000
Ti: 0.3336 0.1664 0.5000
Au: 0.5000 0.5000 0.0000
Pt: 0.1323 0.3677 0.0000
Au: 0.0000 0.0000 0.0000
Pt: 0.3677 0.8677 0.0000
Ti: 0.6664 0.8336 0.5000

- Space group: P4/mbm
- Crystal system: tetragonal

***

(22)
The following is a PBE-GGA calculation of a relaxed TiPt6Au crystal, from the Alexandria database.

abc: 6.8876 6.8876 11.2964
angles: 90.00 90.00 109.42
Fractional coordinates of all 32 atoms:
Pt: 0.1197 0.3732 0.3790
Au: 0.7458 0.2542 0.0000
Pt: 0.2458 0.7542 0.7414
Pt: 0.6335 0.8812 0.8703
Pt: 0.1188 0.3665 0.8703
Pt: 0.6268 0.8803 0.6210
Ti: 0.0000 0.0000 0.7547
Pt: 0.0000 0.0000 0.5000
Au: 0.5000 0.5000 0.7510
Pt: 0.8803 0.6268 0.6210
Pt: 0.1197 0.3732 0.6210
Pt: 0.3665 0.1188 0.1297
Pt: 0.7542 0.2458 0.7414
Pt: 0.0000 0.0000 0.0000
Pt: 0.6335 0.8812 0.1297
Pt: 0.8803 0.6268 0.3790
Ti: 0.7538 0.2462 0.5000
Ti: 0.0000 0.0000 0.2453
Au: 0.2542 0.7458 0.0000
Ti: 0.2462 0.7538 0.5000
Pt: 0.3732 0.1197 0.6210
Au: 0.5000 0.5000 0.2490
Pt: 0.7542 0.2458 0.2586
Pt: 0.2458 0.7542 0.2586
Pt: 0.5000 0.5000 0.5000
Pt: 0.1188 0.3665 0.1297
Pt: 0.6268 0.8803 0.3790
Pt: 0.3732 0.1197 0.3790
Pt: 0.8812 0.6335 0.1297
Pt: 0.8812 0.6335 0.8703
Pt: 0.3665 0.1188 0.8703
Pt: 0.5000 0.5000 0.0000

- Space group: Cmmm
- Crystal system: orthorhombic

***

(23)
The following is a PBE-GGA calculation of a relaxed TiPtAu crystal, from the Alexandria database.

abc: 6.6416 6.6416 7.2010
angles: 100.90 100.90 126.16
Fractional coordinates of all 12 atoms:
Pt: 0.8934 0.8934 0.7869
Ti: 0.4391 0.5609 0.5000
Ti: 0.8109 0.1891 0.0000
Pt: 0.1066 0.1066 0.2131
Au: 0.1250 0.3750 0.7500
Ti: 0.1891 0.8109 0.0000
Au: 0.6250 0.3750 0.2500
Pt: 0.1434 0.6434 0.2869
Pt: 0.3566 0.8566 0.7131
Au: 0.6250 0.8750 0.2500
Ti: 0.0609 0.9391 0.5000
Au: 0.6250 0.3750 0.7500

- Space group: Fddd
- Crystal system: orthorhombic

***

Number 1: density 17.52 g/cm³, final energy -6.661 eV per atom. Number 2: density 15.26 g/cm³, final energy -6.433 eV per atom. Number 3: density 12.14 g/cm³, final energy -6.639 eV per atom. Number 4: density 18.48 g/cm³, final energy -6.759 eV per atom. Number 5: density 15.81 g/cm³, final energy -7.112 eV per atom. Number 6: density 15.99 g/cm³, final energy -5.626 eV per atom. Number 7: density 12.46 g/cm³, final energy -6.490 eV per atom. Number 8: density 12.80 g/cm³, final energy -6.870 eV per atom. Number 9: density 15.32 g/cm³, final energy -6.480 eV per atom. Number 10: density 15.06 g/cm³, final energy -5.401 eV per atom. Number 11: density 13.67 g/cm³, final energy -6.362 eV per atom. Number 12: density 14.10 g/cm³, final energy -6.213 eV per atom. Number 13: density 12.45 g/cm³, final energy -6.688 eV per atom. Number 14: density 12.06 g/cm³, final energy -6.850 eV per atom. Number 15: density 13.59 g/cm³, final energy -5.284 eV per atom. Number 16: density 12.93 g/cm³, final energy -5.835 eV per atom. Number 17: density 12.62 g/cm³, final energy -4.446 eV per atom. Number 18: density 13.64 g/cm³, final energy -5.190 eV per atom. Number 19: density 12.01 g/cm³, final energy -2.990 eV per atom. Number 20: density 11.90 g/cm³, final energy -6.579 eV per atom. Number 21: density 13.57 g/cm³, final energy -6.989 eV per atom. Number 22: density 18.60 g/cm³, final energy -6.371 eV per atom. Number 23: density 12.54 g/cm³, final energy -6.120 eV per atom.